# PBE Nd6IrOs2Cl3, optimized geometry
# Final energy   -76.10 eV/cell
# Density of states at the Fermi level   5.56 states/eV/f.u.
# E_form (uncorrected)   -0.8861 eV/atom
data_Nd6IrOs2Cl3
_cell_length_a 7.113
_cell_length_b 7.113
_cell_length_c 7.936
_cell_angle_alpha 98.58
_cell_angle_beta 98.58
_cell_angle_gamma 120.04
_symmetry_space_group_name_H-M 'P 1'
_symmetry_Int_Tables_number 1
_symmetry_space_group_name_Hall 'P 1'
loop_
_atom_site_label
_atom_site_type_symbol
_atom_site_fract_x
_atom_site_fract_y
_atom_site_fract_z
Nd1 Nd 0.094 0.432 0.794
Nd2 Nd 0.231 0.231 0.205
Nd3 Nd 0.432 0.094 0.794
Nd4 Nd 0.568 0.906 0.206
Nd5 Nd 0.769 0.769 0.795
Nd6 Nd 0.906 0.568 0.206
Ir1 Ir 0.500 0.500 0.000
Os1 Os 0.167 0.833 0.000
Os2 Os 0.833 0.167 0.000
Cl1 Cl 0.000 0.000 0.500
Cl2 Cl 0.330 0.670 0.500
Cl3 Cl 0.670 0.330 0.500



# PBE BP2BrCl, optimized geometry
# Energy above the most stable polymorph in this dataset   0 meV per atom
# Final energy   -16.50 eV/cell
# Density of states at the Fermi level   3.55 states/eV/f.u.
# E_form (uncorrected)   0.9040 eV/atom
data_BP2BrCl
_cell_length_a 4.376
_cell_length_b 4.376
_cell_length_c 4.335
_cell_angle_alpha 90.00
_cell_angle_beta 90.00
_cell_angle_gamma 90.00
_symmetry_space_group_name_H-M 'P 1'
_symmetry_Int_Tables_number 1
_symmetry_space_group_name_Hall 'P 1'
loop_
_atom_site_label
_atom_site_type_symbol
_atom_site_fract_x
_atom_site_fract_y
_atom_site_fract_z
B1 B 0.000 0.000 0.000
P1 P 0.000 0.500 0.000
P2 P 0.500 0.000 0.000
Br1 Br 0.500 0.500 0.500
Cl1 Cl 0.000 0.000 0.500



# PBE Li5GaHg, optimized geometry
# Calculated formation energy   -0.183 eV/atom
# Energy above the most stable polymorph in this dataset   0 meV per atom
# Final energy   -28.36 eV/cell
# Density of states at the Fermi level   2.09 states/eV/f.u.
data_Li5GaHg
_cell_length_a 4.778
_cell_length_b 4.778
_cell_length_c 11.298
_cell_angle_alpha 90.00
_cell_angle_beta 90.00
_cell_angle_gamma 82.22
_symmetry_space_group_name_H-M 'P 1'
_symmetry_Int_Tables_number 1
_symmetry_space_group_name_Hall 'P 1'
loop_
_atom_site_label
_atom_site_type_symbol
_atom_site_fract_x
_atom_site_fract_y
_atom_site_fract_z
Li1 Li 0.056 0.944 0.750
Li2 Li 0.138 0.452 0.619
Li3 Li 0.138 0.452 0.881
Li4 Li 0.452 0.138 0.119
Li5 Li 0.452 0.138 0.381
Li6 Li 0.548 0.862 0.619
Li7 Li 0.548 0.862 0.881
Li8 Li 0.862 0.548 0.119
Li9 Li 0.862 0.548 0.381
Li10 Li 0.944 0.056 0.250
Ga1 Ga 0.369 0.631 0.250
Ga2 Ga 0.631 0.369 0.750
Hg1 Hg 0.000 0.000 0.000
Hg2 Hg 0.000 0.000 0.500



# PBE VCrB, optimized geometry
# Calculated formation energy   -0.400 eV/atom
# Energy above the most stable polymorph in this dataset   136 meV per atom
# Final energy   -53.24 eV/cell
# Density of states at the Fermi level   1.65 states/eV/f.u.
data_VCrB
_cell_length_a 3.153
_cell_length_b 3.153
_cell_length_c 6.117
_cell_angle_alpha 90.00
_cell_angle_beta 90.00
_cell_angle_gamma 90.00
_symmetry_space_group_name_H-M 'P 1'
_symmetry_Int_Tables_number 1
_symmetry_space_group_name_Hall 'P 1'
loop_
_atom_site_label
_atom_site_type_symbol
_atom_site_fract_x
_atom_site_fract_y
_atom_site_fract_z
V1 V 0.250 0.250 0.137
V2 V 0.750 0.750 0.863
Cr1 Cr 0.250 0.750 0.500
Cr2 Cr 0.750 0.250 0.500
B1 B 0.250 0.250 0.768
B2 B 0.750 0.750 0.232



# PBE LiAcPuIr, optimized geometry
# Calculated formation energy   -0.183 eV/atom
# Final energy   -119.78 eV/cell
# Density of states at the Fermi level   9.28 states/eV/f.u.
data_LiAcPuIr
_cell_length_a 7.271
_cell_length_b 7.271
_cell_length_c 7.271
_cell_angle_alpha 90.00
_cell_angle_beta 90.00
_cell_angle_gamma 90.00
_symmetry_space_group_name_H-M 'P 1'
_symmetry_Int_Tables_number 1
_symmetry_space_group_name_Hall 'P 1'
loop_
_atom_site_label
_atom_site_type_symbol
_atom_site_fract_x
_atom_site_fract_y
_atom_site_fract_z
Li1 Li 0.000 0.000 0.000
Li2 Li 0.000 0.500 0.500
Li3 Li 0.500 0.000 0.500
Li4 Li 0.500 0.500 0.000
Ac1 Ac 0.250 0.250 0.250
Ac2 Ac 0.250 0.750 0.750
Ac3 Ac 0.750 0.250 0.750
Ac4 Ac 0.750 0.750 0.250
Pu1 Pu 0.250 0.250 0.750
Pu2 Pu 0.250 0.750 0.250
Pu3 Pu 0.750 0.250 0.250
Pu4 Pu 0.750 0.750 0.750
Ir1 Ir 0.000 0.000 0.500
Ir2 Ir 0.000 0.500 0.000
Ir3 Ir 0.500 0.000 0.000
Ir4 Ir 0.500 0.500 0.500



# PBE LaPr5Ho2Tm, optimized geometry
# Calculated formation energy   0.148 eV/atom
# Final energy   -82.25 eV/cell
# Density of states at the Fermi level   14.24 states/eV/f.u.
data_LaPr5Ho2Tm
_cell_length_a 10.623
_cell_length_b 10.623
_cell_length_c 10.726
_cell_angle_alpha 90.00
_cell_angle_beta 90.00
_cell_angle_gamma 148.57
_symmetry_space_group_name_H-M 'P 1'
_symmetry_Int_Tables_number 1
_symmetry_space_group_name_Hall 'P 1'
loop_
_atom_site_label
_atom_site_type_symbol
_atom_site_fract_x
_atom_site_fract_y
_atom_site_fract_z
La1 La 0.086 0.914 0.500
La2 La 0.914 0.086 0.000
Pr1 Pr 0.019 0.981 0.788
Pr2 Pr 0.117 0.883 0.068
Pr3 Pr 0.204 0.796 0.753
Pr4 Pr 0.221 0.779 0.362
Pr5 Pr 0.483 0.517 0.067
Pr6 Pr 0.517 0.483 0.567
Pr7 Pr 0.779 0.221 0.862
Pr8 Pr 0.796 0.204 0.253
Pr9 Pr 0.883 0.117 0.568
Pr10 Pr 0.981 0.019 0.288
Ho1 Ho 0.385 0.615 0.362
Ho2 Ho 0.386 0.614 0.781
Ho3 Ho 0.614 0.386 0.281
Ho4 Ho 0.615 0.385 0.862
Tm1 Tm 0.302 0.698 0.058
Tm2 Tm 0.698 0.302 0.558



# PBE BeIr4Os, optimized geometry
# Calculated formation energy   0.825 eV/atom
# Final energy   -45.45 eV/cell
# Density of states at the Fermi level   8.47 states/eV/f.u.
data_BeIr4Os
_cell_length_a 5.094
_cell_length_b 5.094
_cell_length_c 5.094
_cell_angle_alpha 60.00
_cell_angle_beta 60.00
_cell_angle_gamma 60.00
_symmetry_space_group_name_H-M 'P 1'
_symmetry_Int_Tables_number 1
_symmetry_space_group_name_Hall 'P 1'
loop_
_atom_site_label
_atom_site_type_symbol
_atom_site_fract_x
_atom_site_fract_y
_atom_site_fract_z
Be1 Be 0.000 0.000 0.000
Ir1 Ir 0.124 0.625 0.625
Ir2 Ir 0.625 0.124 0.625
Ir3 Ir 0.625 0.625 0.124
Ir4 Ir 0.625 0.625 0.625
Os1 Os 0.250 0.250 0.250



# PBE Sc2RePdPt, optimized geometry
# Calculated formation energy   0.833 eV/atom
# Final energy   -32.18 eV/cell
# Density of states at the Fermi level   5.47 states/eV/f.u.
data_Sc2RePdPt
_cell_length_a 4.749
_cell_length_b 4.749
_cell_length_c 4.878
_cell_angle_alpha 90.00
_cell_angle_beta 90.00
_cell_angle_gamma 90.00
_symmetry_space_group_name_H-M 'P 1'
_symmetry_Int_Tables_number 1
_symmetry_space_group_name_Hall 'P 1'
loop_
_atom_site_label
_atom_site_type_symbol
_atom_site_fract_x
_atom_site_fract_y
_atom_site_fract_z
Sc1 Sc 0.000 0.500 0.000
Sc2 Sc 0.500 0.000 0.000
Re1 Re 0.000 0.000 0.500
Pd1 Pd 0.500 0.500 0.000
Pt1 Pt 0.500 0.500 0.500



# PBE LiYNi2, optimized geometry
# Calculated formation energy   -0.114 eV/atom
# Final energy   -40.79 eV/cell
# Density of states at the Fermi level   2.48 states/eV/f.u.
data_LiYNi2
_cell_length_a 3.918
_cell_length_b 3.918
_cell_length_c 8.039
_cell_angle_alpha 90.00
_cell_angle_beta 90.00
_cell_angle_gamma 90.00
_symmetry_space_group_name_H-M 'P 1'
_symmetry_Int_Tables_number 1
_symmetry_space_group_name_Hall 'P 1'
loop_
_atom_site_label
_atom_site_type_symbol
_atom_site_fract_x
_atom_site_fract_y
_atom_site_fract_z
Li1 Li 0.000 0.000 0.000
Li2 Li 0.500 0.500 0.500
Y1 Y 0.000 0.500 0.250
Y2 Y 0.500 0.000 0.750
Ni1 Ni 0.000 0.000 0.500
Ni2 Ni 0.000 0.500 0.750
Ni3 Ni 0.500 0.000 0.250
Ni4 Ni 0.500 0.500 0.000



# PBE LiCaCdPb, optimized geometry
# Calculated formation energy   -0.343 eV/atom
# Final energy   -39.64 eV/cell
# Density of states at the Fermi level   2.84 states/eV/f.u.
data_LiCaCdPb
_cell_length_a 7.372
_cell_length_b 7.372
_cell_length_c 7.372
_cell_angle_alpha 90.00
_cell_angle_beta 90.00
_cell_angle_gamma 90.00
_symmetry_space_group_name_H-M 'P 1'
_symmetry_Int_Tables_number 1
_symmetry_space_group_name_Hall 'P 1'
loop_
_atom_site_label
_atom_site_type_symbol
_atom_site_fract_x
_atom_site_fract_y
_atom_site_fract_z
Li1 Li 0.000 0.000 0.000
Li2 Li 0.000 0.500 0.500
Li3 Li 0.500 0.000 0.500
Li4 Li 0.500 0.500 0.000
Ca1 Ca 0.000 0.000 0.500
Ca2 Ca 0.000 0.500 0.000
Ca3 Ca 0.500 0.000 0.000
Ca4 Ca 0.500 0.500 0.500
Cd1 Cd 0.250 0.250 0.250
Cd2 Cd 0.250 0.750 0.750
Cd3 Cd 0.750 0.250 0.750
Cd4 Cd 0.750 0.750 0.250
Pb1 Pb 0.250 0.250 0.750
Pb2 Pb 0.250 0.750 0.250
Pb3 Pb 0.750 0.250 0.250
Pb4 Pb 0.750 0.750 0.750



# PBE Ac2La2Sb5, optimized geometry
# Final energy   -95.21 eV/cell
# Density of states at the Fermi level   6.13 states/eV/f.u.
# E_form (uncorrected)   -0.9915 eV/atom
data_Ac2La2Sb5
_cell_length_a 9.535
_cell_length_b 9.535
_cell_length_c 8.670
_cell_angle_alpha 90.00
_cell_angle_beta 90.00
_cell_angle_gamma 53.55
_symmetry_space_group_name_H-M 'P 1'
_symmetry_Int_Tables_number 1
_symmetry_space_group_name_Hall 'P 1'
loop_
_atom_site_label
_atom_site_type_symbol
_atom_site_fract_x
_atom_site_fract_y
_atom_site_fract_z
Ac1 Ac 0.166 0.834 0.833
Ac2 Ac 0.334 0.666 0.333
Ac3 Ac 0.666 0.334 0.667
Ac4 Ac 0.834 0.166 0.167
La1 La 0.188 0.188 0.500
La2 La 0.312 0.312 0.000
La3 La 0.688 0.688 0.000
La4 La 0.812 0.812 0.500
Sb1 Sb 0.000 0.000 0.500
Sb2 Sb 0.016 0.270 0.873
Sb3 Sb 0.230 0.484 0.627
Sb4 Sb 0.270 0.016 0.127
Sb5 Sb 0.484 0.230 0.373
Sb6 Sb 0.500 0.500 0.000
Sb7 Sb 0.516 0.770 0.627
Sb8 Sb 0.730 0.984 0.873
Sb9 Sb 0.770 0.516 0.373
Sb10 Sb 0.984 0.730 0.127



# PBE V2Si2Ru3, optimized geometry
# Final energy   -59.53 eV/cell
# Density of states at the Fermi level   5.18 states/eV/f.u.
# E_form (uncorrected)   -0.3744 eV/atom
data_V2Si2Ru3
_cell_length_a 7.214
_cell_length_b 7.214
_cell_length_c 7.214
_cell_angle_alpha 33.05
_cell_angle_beta 33.05
_cell_angle_gamma 33.05
_symmetry_space_group_name_H-M 'P 1'
_symmetry_Int_Tables_number 1
_symmetry_space_group_name_Hall 'P 1'
loop_
_atom_site_label
_atom_site_type_symbol
_atom_site_fract_x
_atom_site_fract_y
_atom_site_fract_z
V1 V 0.129 0.129 0.129
V2 V 0.871 0.871 0.871
Si1 Si 0.386 0.386 0.386
Si2 Si 0.614 0.614 0.614
Ru1 Ru 0.000 0.000 0.000
Ru2 Ru 0.250 0.250 0.250
Ru3 Ru 0.750 0.750 0.750